Entry 1:
A relaxed structure of CuBiIrW, computed with PBE-GGA.

abc: 4.6176 4.6176 4.6176
angles: 60.00 60.00 60.00
Fractional coordinates of all 4 atoms:
Bi  0.0000  0.0000  0.0000
Cu  0.7500  0.7500  0.7500
Ir  0.2500  0.2500  0.2500
W  0.5000  0.5000  0.5000

Computed properties:
space group = F-43m, No. 216
E above lowest polymorph = 76 meV per atom


Entry 2:
A relaxed structure of Ba6Nb2O11, computed with PBE-GGA.

abc: 10.7050 10.7050 10.7050
angles: 130.44 130.44 72.71
Each line ends with the local moment (μB).
Fractional coordinates of all 38 atoms:
Ba  0.5862  0.1501  0.0000  0.00
Ba  0.2134  0.2134  0.0000  0.03
Ba  0.8499  0.4138  0.0000  0.00
Ba  0.1501  0.5862  0.0000  0.00
Ba  0.7866  0.7866  0.0000  0.03
Ba  0.4138  0.8499  0.0000  0.00
Ba  0.5862  0.5862  0.4361  0.00
Ba  0.8499  0.8499  0.4361  0.00
Ba  0.5000  0.0000  0.5000  -0.03
Ba  0.0000  0.5000  0.5000  -0.03
Ba  0.1501  0.1501  0.5639  0.00
Ba  0.4138  0.4138  0.5639  0.00
Nb  0.0000  0.0000  0.0000  0.57
Nb  0.5000  0.5000  0.0000  0.01
Nb  0.7500  0.2500  0.5000  -0.01
Nb  0.2500  0.7500  0.5000  -0.01
O  0.3789  0.3789  0.0000  0.01
O  0.6211  0.6211  0.0000  0.01
O  0.2157  0.0000  0.2157  -0.07
O  0.0000  0.2157  0.2157  -0.07
O  0.7204  0.5000  0.2204  -0.02
O  0.5000  0.7204  0.2204  -0.02
O  0.7455  0.0166  0.2711  -0.01
O  0.5255  0.2545  0.2711  -0.01
O  0.2545  0.5255  0.2711  -0.01
O  0.0166  0.7455  0.2711  -0.01
O  0.6377  0.1377  0.5000  -0.14
O  0.8623  0.3623  0.5000  -0.14
O  0.1377  0.6377  0.5000  -0.14
O  0.3623  0.8623  0.5000  -0.14
O  0.9834  0.2545  0.7289  -0.01
O  0.7455  0.4745  0.7289  -0.01
O  0.4745  0.7455  0.7289  -0.01
O  0.2545  0.9834  0.7289  -0.01
O  0.5000  0.2796  0.7796  -0.02
O  0.2796  0.5000  0.7796  -0.02
O  0.7843  0.0000  0.7843  -0.07
O  0.0000  0.7843  0.7843  -0.07

Computed properties:
space group = I4/mmm, No. 139
total energy = -7.06 eV/atom


Entry 3:
A relaxed structure of KPrSO, computed with PBE-GGA.

abc: 4.1828 4.1828 9.9945
angles: 90.00 90.00 90.00
Fractional coordinates of all 8 atoms:
K  0.7500  0.2500  0.5000
K  0.2500  0.7500  0.5000
O  0.7500  0.2500  0.0000
O  0.2500  0.7500  0.0000
Pr  0.2500  0.2500  0.1137
Pr  0.7500  0.7500  0.8863
S  0.7500  0.7500  0.2829
S  0.2500  0.2500  0.7171

Computed properties:
space group = P4/nmm, No. 129
E above lowest polymorph = 169 meV per atom


Entry 4:
A relaxed structure of NaUAg, computed with PBE-GGA.

abc: 5.0591 5.0591 5.0591
angles: 60.00 60.00 60.00
Fractional coordinates of all 3 atoms:
Ag  0.2500  0.2500  0.2500
Na  0.7500  0.7500  0.7500
U  0.0000  0.0000  0.0000

Computed properties:
space group = F-43m, No. 216
E above lowest polymorph = 15 meV per atom


Entry 5:
A relaxed structure of Er5FeTe3, computed with PBE-GGA.

abc: 8.4633 8.4633 3.7107
angles: 90.00 90.00 120.00
Each line ends with the local moment (μB).
Fractional coordinates of all 9 atoms:
Er  0.2250  0.0000  0.5000  0.02
Er  0.0000  0.2250  0.5000  0.03
Er  0.6667  0.3333  0.5000  0.06
Er  0.3333  0.6667  0.5000  0.06
Er  0.7750  0.7750  0.5000  0.03
Fe  0.0000  0.0000  0.0000  -0.02
Te  0.6114  0.0000  0.0000  0.00
Te  0.3886  0.3886  0.0000  0.00
Te  0.0000  0.6114  0.0000  0.00

Computed properties:
space group = P-62m, No. 189
E above lowest polymorph = 0 meV per atom


Entry 6:
A relaxed structure of GdTaCo, computed with PBE-GGA.

abc: 4.4524 4.4524 4.4524
angles: 60.00 60.00 60.00
Fractional coordinates of all 3 atoms:
Co  0.2500  0.2500  0.2500
Gd  0.0000  0.0000  0.0000
Ta  0.7500  0.7500  0.7500

Computed properties:
space group = F-43m, No. 216
DFT formation energy = 1.5228 eV per atom


Entry 7:
A relaxed structure of La2ZnPd, computed with PBE-GGA.

abc: 5.0278 5.0278 5.0278
angles: 60.00 60.00 60.00
Fractional coordinates of all 4 atoms:
La  0.0000  0.0000  0.0000
La  0.7500  0.7500  0.7500
Pd  0.2500  0.2500  0.2500
Zn  0.5000  0.5000  0.5000

Computed properties:
space group = F-43m, No. 216
DFT formation energy = -0.4297 eV per atom


Entry 8:
A relaxed structure of PrAuSeO, computed with PBE-GGA.

abc: 5.8501 5.8564 9.5498
angles: 90.00 90.00 90.00
Fractional coordinates of all 16 atoms:
Au  0.4955  0.2494  0.5002
Au  0.9955  0.2506  0.5002
Au  0.0045  0.7494  0.5002
Au  0.5045  0.7506  0.5002
O  0.2501  0.2499  0.0000
O  0.7501  0.2501  0.0000
O  0.2499  0.7499  0.0000
O  0.7499  0.7501  0.0000
Pr  0.0000  0.0000  0.1240
Pr  0.5000  0.5000  0.1240
Pr  0.5000  0.0000  0.8762
Pr  0.0000  0.5000  0.8762
Se  0.5000  0.0000  0.2851
Se  0.0000  0.5000  0.2851
Se  0.0000  0.0000  0.7145
Se  0.5000  0.5000  0.7145

Computed properties:
space group = Pba2, No. 32
total energy = -5.99 eV/atom


Entry 9:
A relaxed structure of TaZn2B, computed with PBE-GGA.

abc: 4.2290 4.2290 4.2290
angles: 60.00 60.00 60.00
Each line ends with the local moment (μB).
Fractional coordinates of all 4 atoms:
B  0.5000  0.5000  0.5000  0.02
Ta  0.2500  0.2500  0.2500  0.15
Zn  0.0000  0.0000  0.0000  0.01
Zn  0.7500  0.7500  0.7500  0.01

Computed properties:
space group = F-43m, No. 216
total energy = -4.57 eV/atom


Entry 10:
A relaxed structure of TbTmC2I2, computed with PBE-GGA.

abc: 4.1280 4.1280 11.2108
angles: 92.99 92.99 56.02
Fractional coordinates of all 6 atoms:
C  0.5779  0.5779  0.4686
C  0.4222  0.4222  0.5248
I  0.1769  0.1769  0.1935
I  0.8245  0.8245  0.8118
Tb  0.1447  0.1447  0.6221
Tm  0.8539  0.8539  0.3793

Computed properties:
space group = Cm, No. 8
total energy = -5.95 eV/atom


Entry 11:
A relaxed structure of CsHg3Te4Ir, computed with PBE-GGA.

abc: 7.5629 7.5629 7.5629
angles: 90.00 90.00 90.00
Fractional coordinates of all 9 atoms:
Cs  0.0000  0.0000  0.0000
Hg  0.5000  0.5000  0.0000
Hg  0.5000  0.0000  0.5000
Hg  0.0000  0.5000  0.5000
Ir  0.5000  0.5000  0.5000
Te  0.3084  0.3084  0.3084
Te  0.6916  0.6916  0.3084
Te  0.6916  0.3084  0.6916
Te  0.3084  0.6916  0.6916

Computed properties:
space group = P-43m, No. 215
total energy = -2.65 eV/atom


Entry 12:
A relaxed structure of FeSnWAu, computed with PBE-GGA.

abc: 4.5630 4.5630 4.5630
angles: 60.00 60.00 60.00
Fractional coordinates of all 4 atoms:
Au  0.5000  0.5000  0.5000
Fe  0.7500  0.7500  0.7500
Sn  0.0000  0.0000  0.0000
W  0.2500  0.2500  0.2500

Computed properties:
space group = F-43m, No. 216
E above lowest polymorph = 0 meV per atom


What is the formula in the third record? KPrSO


Repeat the tenth record exactly.
A relaxed structure of TbTmC2I2, computed with PBE-GGA.

abc: 4.1280 4.1280 11.2108
angles: 92.99 92.99 56.02
Fractional coordinates of all 6 atoms:
C  0.5779  0.5779  0.4686
C  0.4222  0.4222  0.5248
I  0.1769  0.1769  0.1935
I  0.8245  0.8245  0.8118
Tb  0.1447  0.1447  0.6221
Tm  0.8539  0.8539  0.3793

Computed properties:
space group = Cm, No. 8
total energy = -5.95 eV/atom


What did the seventh record say?
A relaxed structure of La2ZnPd, computed with PBE-GGA.

abc: 5.0278 5.0278 5.0278
angles: 60.00 60.00 60.00
Fractional coordinates of all 4 atoms:
La  0.0000  0.0000  0.0000
La  0.7500  0.7500  0.7500
Pd  0.2500  0.2500  0.2500
Zn  0.5000  0.5000  0.5000

Computed properties:
space group = F-43m, No. 216
DFT formation energy = -0.4297 eV per atom